1.
The following is a DFT calculation (PBE-GGA) of a geometry-optimized Ti3PtN structure.

Computed properties:
* raw total energy: -43.53 eV per formula unit
* theoretical density: 8.500 g cm⁻³
* magnetic moment: 0.000 μB/cell
* E_form (uncorrected): -5.476 eV per formula unit

```
data_Ti3PtN
_space_group_name_H-M_alt 'P 4/n m m'
_space_group_IT_number 129
_cell_length_a 4.275
_cell_length_b 4.275
_cell_length_c 7.540
_cell_angle_alpha 90.00
_cell_angle_beta 90.00
_cell_angle_gamma 90.00
loop_
_space_group_symop_operation_xyz
'x,y,z'
'-x,-y,-z'
'-y+1/2,x,z'
'y+1/2,-x,-z'
'-x+1/2,-y+1/2,z'
'x+1/2,y+1/2,-z'
'y,-x+1/2,z'
'-y,x+1/2,-z'
'x+1/2,-y,-z'
'-x+1/2,y,z'
'-y,-x,-z'
'y,x,z'
'-x,y+1/2,-z'
'x,-y+1/2,z'
'y+1/2,x+1/2,-z'
'-y+1/2,-x+1/2,z'
loop_
_atom_site_label
_atom_site_fract_x
_atom_site_fract_y
_atom_site_fract_z
_atom_site_occupancy
Ti1 0.250 0.250 0.002 1
Ti2 0.250 0.750 0.269 1
Pt1 0.250 0.250 0.480 1
N1 0.250 0.750 0.000 1
```

2.
The following is a DFT calculation (PBE-GGA) of a geometry-optimized Rb4Hf3NiS8 structure.

Computed properties:
* raw total energy: -92.44 eV per formula unit
* theoretical density: 5.246 g cm⁻³
* magnetic moment: 2.644 μB/cell
* E_form (uncorrected): -19.908 eV per formula unit

```
data_Rb4Hf3NiS8
_space_group_name_H-M_alt 'C 1 2/m 1'
_space_group_IT_number 12
_space_group_name_Hall '-C 2y'
_cell_length_a 13.123
_cell_length_b 7.562
_cell_length_c 8.778
_cell_angle_alpha 90.00
_cell_angle_beta 119.92
_cell_angle_gamma 90.00
loop_
_atom_site_label
_atom_site_fract_x
_atom_site_fract_y
_atom_site_fract_z
_atom_site_occupancy
Rb1 0.000 0.000 0.000 1
Rb2 0.000 0.500 0.000 1
Rb3 0.250 0.250 0.000 1
Hf1 0.000 0.000 0.500 1
Hf2 0.250 0.250 0.500 1
Ni1 0.000 0.500 0.500 1
S1 0.023 0.250 0.320 1
S2 0.227 0.500 0.680 1
S3 0.230 0.000 0.689 1
```

3.
The following is a DFT calculation (PBE-GGA) of a geometry-optimized ZnReTeI2 structure.

Computed properties:
* excess energy over the best structure of this formula in the dataset: 0.00 eV per formula unit
* raw total energy: -16.66 eV per formula unit
* theoretical density: 6.421 g cm⁻³
* magnetic moment: 0.952 μB/cell
* E_form (uncorrected): 3.306 eV per formula unit

```
data_ZnReTeI2
_space_group_name_H-M_alt 'P 4/m m m'
_space_group_IT_number 123
_space_group_name_Hall '-P 4 2'
_cell_length_a 5.666
_cell_length_b 5.666
_cell_length_c 5.100
_cell_angle_alpha 90.00
_cell_angle_beta 90.00
_cell_angle_gamma 90.00
loop_
_atom_site_label
_atom_site_fract_x
_atom_site_fract_y
_atom_site_fract_z
_atom_site_occupancy
Zn1 0.000 0.000 0.000 1
Re1 0.500 0.500 0.500 1
Te1 0.500 0.500 0.000 1
I1 0.000 0.500 0.500 1
```

4.
The following is a DFT calculation (PBE-GGA) of a geometry-optimized Ho2PuHg structure.

Computed properties:
* excess energy over the best structure of this formula in the dataset: 0.25 eV per formula unit
* raw total energy: -24.11 eV per formula unit
* theoretical density: 11.268 g cm⁻³
* magnetic moment: 19.701 μB/cell
* energy of formation: -80.0 meV per atom

```
data_Ho2PuHg
_space_group_name_H-M_alt 'R 3 m'
_space_group_IT_number 160
_space_group_name_Hall 'R 3 -2"'
_cell_length_a 3.5703
_cell_length_b 3.5703
_cell_length_c 31.0154
_cell_angle_alpha 90.00
_cell_angle_beta 90.00
_cell_angle_gamma 120.00
loop_
_atom_site_label
_atom_site_fract_x
_atom_site_fract_y
_atom_site_fract_z
_atom_site_occupancy
Ho1 0.0000 0.0000 0.0000 1
Ho2 0.0000 0.0000 0.1783 1
Pu1 0.0000 0.0000 0.4223 1
Hg1 0.0000 0.0000 0.5891 1
```

5.
The following is a DFT calculation (PBE-GGA) of a geometry-optimized MgHgO3 structure.

Computed properties:
* raw total energy: -19.45 eV per formula unit
* theoretical density: 7.589 g cm⁻³
* magnetic moment: 2.013 μB/cell
* E_form (uncorrected): -2.675 eV per formula unit

```
data_MgHgO3
_space_group_name_H-M_alt 'P m -3 m'
_space_group_IT_number 221
_space_group_name_Hall '-P 4 2 3'
_cell_length_a 3.909
_cell_length_b 3.909
_cell_length_c 3.909
_cell_angle_alpha 90.00
_cell_angle_beta 90.00
_cell_angle_gamma 90.00
loop_
_atom_site_label
_atom_site_fract_x
_atom_site_fract_y
_atom_site_fract_z
_atom_site_occupancy
Mg1 0.000 0.000 0.000 1
Hg1 0.500 0.500 0.500 1
O1 0.000 0.000 0.500 1
```

6.
The following is a DFT calculation (PBE-GGA) of a geometry-optimized TiTeBr structure.

Computed properties:
* excess energy over the best structure of this formula in the dataset: 0.11 eV per formula unit
* raw total energy: -15.34 eV per formula unit
* theoretical density: 4.841 g cm⁻³
* magnetic moment: 0.780 μB/cell
* E_form (uncorrected): -2.632 eV per formula unit

```
data_TiTeBr
_space_group_name_H-M_alt 'P 3 m 1'
_space_group_IT_number 156
_space_group_name_Hall 'P 3 -2"'
_cell_length_a 3.7139
_cell_length_b 3.7139
_cell_length_c 7.3325
_cell_angle_alpha 90.00
_cell_angle_beta 90.00
_cell_angle_gamma 120.00
loop_
_atom_site_label
_atom_site_fract_x
_atom_site_fract_y
_atom_site_fract_z
_atom_site_occupancy
Ti1 0.0000 0.0000 0.0000 1
Te1 0.6667 0.3333 0.2360 1
Br1 0.3333 0.6667 0.7784 1
```

7.
The following is a DFT calculation (PBE-GGA) of a geometry-optimized TaFe3Ge structure.

Computed properties:
* raw total energy: -34.42 eV per formula unit
* theoretical density: 7.481 g cm⁻³
* magnetic moment: 5.229 μB/cell
* energy of formation: 1487.0 meV per atom

```
data_TaFe3Ge
_space_group_name_H-M_alt 'P m -3 m'
_space_group_IT_number 221
_space_group_name_Hall '-P 4 2 3'
_cell_length_a 4.538
_cell_length_b 4.538
_cell_length_c 4.538
_cell_angle_alpha 90.00
_cell_angle_beta 90.00
_cell_angle_gamma 90.00
loop_
_atom_site_label
_atom_site_fract_x
_atom_site_fract_y
_atom_site_fract_z
_atom_site_occupancy
Ta1 0.000 0.000 0.000 1
Fe1 0.000 0.000 0.500 1
Ge1 0.500 0.500 0.500 1
```

8.
The following is a DFT calculation (PBE-GGA) of a geometry-optimized Rb2Hg3BiPb4 structure.

Computed properties:
* raw total energy: -22.63 eV per formula unit
* theoretical density: 8.375 g cm⁻³
* magnetic moment: 0.000 μB/cell
* energy of formation: -107.7 meV per atom

```
data_Rb2Hg3BiPb4
_space_group_name_H-M_alt 'P -4 m 2'
_space_group_IT_number 115
_space_group_name_Hall 'P -4 -2'
_cell_length_a 5.299
_cell_length_b 5.299
_cell_length_c 12.783
_cell_angle_alpha 90.00
_cell_angle_beta 90.00
_cell_angle_gamma 90.00
loop_
_atom_site_label
_atom_site_fract_x
_atom_site_fract_y
_atom_site_fract_z
_atom_site_occupancy
Rb1 0.000 0.500 0.246 1
Hg1 0.000 0.000 0.000 1
Hg2 0.000 0.500 0.629 1
Bi1 0.500 0.500 0.000 1
Pb1 0.000 0.000 0.500 1
Pb2 0.000 0.500 0.865 1
Pb3 0.500 0.500 0.500 1
```

9.
The following is a DFT calculation (PBE-GGA) of a geometry-optimized MgScAl3 structure.

Computed properties:
* excess energy over the best structure of this formula in the dataset: 0.74 eV per formula unit
* raw total energy: -14.88 eV per formula unit
* theoretical density: 1.759 g cm⁻³
* magnetic moment: 0.000 μB/cell
* energy of formation: 854.7 meV per atom

```
data_MgScAl3
_space_group_name_H-M_alt 'P m -3 m'
_space_group_IT_number 221
_space_group_name_Hall '-P 4 2 3'
_cell_length_a 5.214
_cell_length_b 5.214
_cell_length_c 5.214
_cell_angle_alpha 90.00
_cell_angle_beta 90.00
_cell_angle_gamma 90.00
loop_
_atom_site_label
_atom_site_fract_x
_atom_site_fract_y
_atom_site_fract_z
_atom_site_occupancy
Mg1 0.000 0.000 0.000 1
Sc1 0.500 0.500 0.500 1
Al1 0.000 0.500 0.500 1
```

10.
The following is a DFT calculation (PBE-GGA) of a geometry-optimized ZnFe2P structure.

Computed properties:
* raw total energy: -22.95 eV per formula unit
* theoretical density: 6.587 g cm⁻³
* magnetic moment: 12.571 μB/cell
* energy of formation: 164.5 meV per atom

```
data_ZnFe2P
_space_group_name_H-M_alt 'I -4 2 d'
_space_group_IT_number 122
_space_group_name_Hall 'I -4 2bw'
_cell_length_a 6.466
_cell_length_b 6.466
_cell_length_c 5.019
_cell_angle_alpha 90.00
_cell_angle_beta 90.00
_cell_angle_gamma 90.00
loop_
_atom_site_label
_atom_site_fract_x
_atom_site_fract_y
_atom_site_fract_z
_atom_site_occupancy
Zn1 0.000 0.000 0.000 1
Fe1 0.198 0.250 0.625 1
P1 0.000 0.000 0.500 1
```

11.
The following is a DFT calculation (PBE-GGA) of a geometry-optimized K2CaP2O6 structure.

Computed properties:
* raw total energy: -71.73 eV per formula unit
* theoretical density: 2.716 g cm⁻³
* magnetic moment: 0.000 μB/cell
* E_form (uncorrected): -26.969 eV per formula unit

```
data_K2CaP2O6
_space_group_name_H-M_alt 'C 1 2/m 1'
_space_group_IT_number 12
_space_group_name_Hall '-C 2y'
_cell_length_a 10.115
_cell_length_b 5.816
_cell_length_c 6.783
_cell_angle_alpha 90.00
_cell_angle_beta 122.17
_cell_angle_gamma 90.00
loop_
_atom_site_label
_atom_site_fract_x
_atom_site_fract_y
_atom_site_fract_z
_atom_site_occupancy
K1 0.216 0.000 0.192 1
Ca1 0.000 0.000 0.500 1
P1 0.046 0.500 0.188 1
O1 0.018 0.279 0.765 1
O2 0.226 0.500 0.317 1
```